Record 1
Compound: GdSn6Pt4
Source: OQMD via LeMat-Bulk
Functional: PBE-GGA
Structure: relaxed

Computed properties:
- SG = No. 121
- total magnetization (μB/f.u.) = 0.004
- E_tot (eV per atom) = -5.334

a = 7.1132 Å, b = 7.1132 Å, c = 7.1132 Å
α = 118.30°, β = 118.30°, γ = 92.97°
Closest atoms and distances in Å follow each position.
Positions (direct):
Sn1 0.8240 0.8240 0.2923  4 Pt 2.62-2.91
Sn2 0.4683 0.1760 0.0000  4 Pt 2.62-2.91
Sn3 0.0000 0.5000 0.5000  4 Pt 2.74
Sn4 0.1760 0.4683 0.0000  4 Pt 2.62-2.91
Sn5 0.5317 0.5317 0.7077  4 Pt 2.62-2.91
Sn6 0.5000 0.0000 0.5000  4 Pt 2.74
Gd1 0.0000 0.0000 0.0000  4 Pt 2.96
Pt1 0.1831 0.1831 0.5471  6 Sn 2.62-2.91
Pt2 0.6360 0.6360 0.4529  6 Sn 2.62-2.91
Pt3 0.8169 0.3640 0.0000  6 Sn 2.62-2.91
Pt4 0.3640 0.8169 0.0000  6 Sn 2.62-2.91

***

Record 2
Compound: GdSnPt
Source: OQMD via LeMat-Bulk
Functional: PBE-GGA
Structure: relaxed

Computed properties:
- SG = No. 189
- total magnetization (μB/f.u.) = 0.000
- E_tot (eV per atom) = -5.809

a = 7.1416 Å, b = 7.1416 Å, c = 4.5081 Å
α = 90.00°, β = 90.00°, γ = 120.00°
Closest atoms and distances in Å follow each position.
Positions (direct):
Gd1 0.0000 0.5659 0.0000  5 Sn 3.09-3.10, 2 Pt 3.24
Gd2 0.4341 0.4341 0.0000  5 Sn 3.09-3.10, 2 Pt 3.24
Gd3 0.5659 0.0000 0.0000  5 Sn 3.09-3.10, 2 Pt 3.24
Pt1 0.7593 0.7593 0.5000  4 Sn 2.77-2.83, 2 Pt 2.98
Pt2 0.2407 0.0000 0.5000  4 Sn 2.77-2.83, 2 Pt 2.98
Pt3 0.0000 0.2407 0.5000  4 Sn 2.77-2.83, 2 Pt 2.98
Sn1 0.0000 0.0000 0.0000  6 Pt 2.83, 3 Gd 3.10
Sn2 0.3333 0.6667 0.5000  3 Pt 2.77, 6 Gd 3.09
Sn3 0.6667 0.3333 0.5000  3 Pt 2.77, 6 Gd 3.09

***

Record 3
Compound: GdY2Sn3Pt3
Source: OQMD via LeMat-Bulk
Functional: PBE-GGA
Structure: relaxed

Computed properties:
- SG = No. 38
- total magnetization (μB/f.u.) = 0.002
- E_tot (eV per atom) = -6.403

a = 4.0340 Å, b = 7.5385 Å, c = 7.5385 Å
α = 120.03°, β = 90.00°, γ = 90.00°
Closest atoms and distances in Å follow each position.
Positions (direct):
Pt1 0.5000 0.6670 0.3330  3 Sn 2.83-2.84, 4 Y 3.05, 2 Gd 3.05
Pt2 0.0000 0.9996 0.9996  6 Sn 2.80, 2 Y 3.06, 1 Gd 3.07
Pt3 0.5000 0.3330 0.6670  3 Sn 2.83-2.84, 4 Y 3.05, 2 Gd 3.05
Sn1 0.5000 0.9994 0.2579  4 Pt 2.80-2.84
Sn2 0.5000 0.7423 0.7423  4 Pt 2.80-2.84
Sn3 0.5000 0.2579 0.9994  4 Pt 2.80-2.84
Y1 0.0000 0.5940 0.0000  5 Pt 3.05-3.06, 6 Sn 3.24-3.36
Y2 0.0000 0.0000 0.5940  5 Pt 3.05-3.06, 6 Sn 3.24-3.36
Gd1 0.0000 0.4067 0.4067  5 Pt 3.05-3.07, 6 Sn 3.23-3.36